This record from Alexandria describes a geometry-optimized KTcSCl2 structure. The functional is PBE.

a = 5.428 Å, b = 5.428 Å, c = 5.593 Å
α = 90.00°, β = 90.00°, γ = 90.00°
Atoms (fractional coordinates):
S  0.000  0.000  0.500
K  0.000  0.000  0.000
Tc  0.500  0.500  0.500
Cl  0.000  0.500  0.000
Cl  0.500  0.000  0.000

Values from the calculation:
Distance to the lowest polymorph of the same formula   7.71 eV/f.u.
Raw formation energy   780 meV per atom
E   -3.08 eV/atom

=====

This record from Alexandria describes a geometry-optimized K2TcSCl5 structure. The functional is PBE.

a = 7.000 Å, b = 7.000 Å, c = 7.000 Å
α = 92.77°, β = 118.41°, γ = 118.41°
Atoms (fractional coordinates):
K  0.500  0.254  0.754
K  0.500  0.754  0.254
Tc  0.000  0.984  0.984
S  0.000  0.760  0.760
Cl  0.471  0.238  0.238
Cl  0.529  0.767  0.767
Cl  0.000  0.767  0.238
Cl  0.000  0.238  0.767
Cl  0.000  0.241  0.241

Values from the calculation:
Raw formation energy   -1127 meV per atom
E   -4.01 eV/atom